Entry 1:
Material: TmUIrPd
Method: DFT, PBE-GGA
State: relaxed

Cell and atoms, written as POSCAR:
```
TmUIrPd
1.0
4.869 0.000 0.000
2.435 4.217 0.000
2.435 1.406 3.976
Tm Ir Pd U
1 1 1 1
Direct
0.750 0.750 0.750 Tm
0.000 0.000 0.000 Ir
0.500 0.500 0.500 Pd
0.250 0.250 0.250 U
```

## Properties
- formation enthalpy at 0 K (eV/atom) = -0.552
- magnetization (μB/f.u.) = 2.49
- DFT total energy (eV/cell) = -32.0



Entry 2:
Material: MgCdPd3Pt
Method: DFT, PBE-GGA
State: relaxed

Cell and atoms, written as POSCAR:
```
MgCdPd3Pt
1.0
-1.578 3.372 -0.773
-1.329 -1.175 6.943
5.845 3.869 4.944
Pd Pt Mg Cd
6 2 2 2
Direct
0.889 0.778 0.527 Pd
0.472 0.944 0.670 Pd
0.111 0.222 0.473 Pd
0.262 0.524 0.760 Pd
0.528 0.056 0.330 Pd
0.738 0.476 0.240 Pd
0.955 0.911 0.167 Pt
0.045 0.089 0.833 Pt
0.677 0.353 0.630 Mg
0.323 0.647 0.370 Mg
0.362 0.724 0.003 Cd
0.638 0.276 0.997 Cd
```

## Properties
- formation enthalpy at 0 K (eV/atom) = -0.309
- magnetization (μB/f.u.) = 0.00
- DFT total energy (eV/cell) = -52.0



What is the formation enthalpy at 0 K in the first record? -0.552 eV/atom



What is the formula in the second record? MgCdPd3Pt